# KSi2Br

Crystalline KSi2Br at its relaxed geometry (PBEsol, Alexandria).

Cell: 3.9318 3.9318 7.0854 Å, 90.00 90.00 90.00°
Last column: nearest neighbours and their distance in Å.
Element x y z (fractional)
K: 0.0000 0.0000 0.5000  4 Br 2.78
Si: 0.0000 0.5000 0.0000  4 Si 2.78
Si: 0.5000 0.0000 0.0000  4 Si 2.78
Br: 0.5000 0.5000 0.5000  4 K 2.78

## Properties
For the formation energy (no corrections), the calculation gives 141.4 meV per atom. The total magnetization comes out at 0.000 μB per formula unit. Its raw total energy is -3.483 eV per atom.